Record 1
# Li3V2P4H2O16

Li3V2P4H2O16 after structural relaxation (PBE with a Hubbard U, Alexandria via LeMat-Bulk).

a b c (Å): 9.433 9.442 7.892
angles (deg): 78.90 78.82 117.86
Each line ends with the local moment (μB).
Sites, in units of the cell vectors:
O1 0.485 0.316 0.349  -0.01
Li1 0.953 0.590 0.348  0.00
O2 0.662 0.619 0.339  -0.01
O3 0.510 0.681 0.644  -0.01
O4 0.064 0.739 0.853  -0.01
O5 0.281 0.453 0.318  0.00
O6 0.626 0.084 0.152  -0.03
O7 0.192 0.632 0.449  0.00
Li2 0.657 0.790 0.154  0.00
V1 0.000 0.495 0.005  1.88
Li3 0.041 0.413 0.651  0.00
O8 0.438 0.767 0.143  -0.01
O9 0.563 0.235 0.851  -0.01
O10 0.360 0.915 0.858  -0.04
P1 0.756 0.107 0.261  0.01
O11 0.167 0.113 0.356  -0.04
O12 0.673 0.131 0.436  0.00
O13 0.315 0.876 0.558  0.00
H1 0.482 0.490 0.979  0.00
P2 0.262 0.609 0.270  0.01
V2 0.252 0.256 0.488  1.08
O14 0.380 0.424 0.935  0.00
O15 0.833 0.882 0.671  -0.01
O16 0.312 0.991 0.191  0.00
O17 0.132 0.584 0.168  -0.01
P3 0.645 0.496 0.230  0.01
Li4 0.836 0.699 0.844  0.00
H2 0.260 0.764 0.518  0.00
O18 0.989 0.817 0.356  -0.01
O19 0.805 0.486 0.191  0.00
O20 0.125 0.063 0.057  -0.01
O21 0.015 0.191 0.643  0.00
P4 0.356 0.507 0.759  0.01
O22 0.191 0.508 0.810  -0.01
Li5 0.459 0.094 0.352  0.00
O23 0.930 0.260 0.145  -0.01
V3 0.502 0.002 0.994  1.07
V4 0.745 0.751 0.503  1.92
Li6 0.339 0.210 0.854  0.00
O24 0.624 0.569 0.051  0.00
H3 0.739 0.234 0.481  0.00
P5 0.743 0.393 0.732  0.01
P6 0.145 0.993 0.235  0.00
P7 0.858 0.016 0.766  0.00
O25 0.700 0.029 0.821  0.00
O26 0.242 0.063 0.687  0.00
O27 0.817 0.373 0.553  0.00
O28 0.332 0.377 0.652  -0.03
P8 0.240 0.896 0.740  0.00
O29 0.881 0.945 0.950  0.00
H4 0.991 0.004 0.995  0.00
O30 0.755 0.942 0.310  -0.01
O31 0.734 0.555 0.691  0.00
O32 0.867 0.411 0.841  -0.01

## Properties
Calculated density, kg/m³: 2908
Total DFT energy (no corrections), eV per atom: -6.8690

Record 2
# CoAuN2O

CoAuN2O after structural relaxation (PBE with a Hubbard U, Alexandria via LeMat-Bulk).

a b c (Å): 3.685 3.685 3.998
angles (deg): 90.00 90.00 90.00
Each line ends with the local moment (μB).
Sites, in units of the cell vectors:
O1 0.000 0.000 0.500  0.36
Co1 0.000 0.000 0.000  1.36
Au1 0.500 0.500 0.500  0.26
N1 0.000 0.500 0.000  0.60
N2 0.500 0.000 0.000  0.60

## Properties
Calculated density, kg/m³: 9173
Total DFT energy (no corrections), eV per atom: -4.6537